Entry 1:
NpPa2Se6, optimized geometry, DFT PBE; energy relative to the elements, uncorrected = -1.21 eV/atom; space group = No. 15; polymorph energy (0 for the lowest one) = 0.0 kJ/mol of atoms; VASP energy = -127.53 eV for the cell shown
1.0
6.912 -5.568 0.000
6.912 5.568 0.000
-3.173 0.000 6.700
Np Pa Se
2 4 12
Direct
0.164 0.836 0.750 Np
0.836 0.164 0.250 Np
0.189 0.342 0.086 Pa
0.342 0.189 0.586 Pa
0.658 0.811 0.414 Pa
0.811 0.658 0.914 Pa
0.065 0.169 0.675 Se
0.144 0.608 0.956 Se
0.169 0.065 0.175 Se
0.249 0.486 0.496 Se
0.392 0.856 0.544 Se
0.486 0.249 0.996 Se
0.514 0.751 0.004 Se
0.608 0.144 0.456 Se
0.751 0.514 0.504 Se
0.831 0.935 0.825 Se
0.856 0.392 0.044 Se
0.935 0.831 0.325 Se

***

Entry 2:
Np2PaSe6, optimized geometry, DFT PBE; energy relative to the elements, uncorrected = -1.10 eV/atom; space group = No. 136; polymorph energy (0 for the lowest one) = 2.9 kJ/mol of atoms; VASP energy = -132.37 eV for the cell shown
1.0
6.609 0.000 0.000
0.000 6.609 0.000
0.000 0.000 12.957
Np Pa Se
4 2 12
Direct
0.000 0.000 0.166 Np
0.000 0.000 0.834 Np
0.500 0.500 0.334 Np
0.500 0.500 0.666 Np
0.000 0.000 0.500 Pa
0.500 0.500 0.000 Pa
0.193 0.193 0.337 Se
0.193 0.193 0.663 Se
0.199 0.199 0.000 Se
0.301 0.699 0.500 Se
0.307 0.693 0.163 Se
0.307 0.693 0.837 Se
0.693 0.307 0.163 Se
0.693 0.307 0.837 Se
0.699 0.301 0.500 Se
0.801 0.801 0.000 Se
0.807 0.807 0.337 Se
0.807 0.807 0.663 Se

***

Entry 3:
Np2PaSe6, optimized geometry, DFT PBE; energy relative to the elements, uncorrected = -1.13 eV/atom; space group = No. 14; polymorph energy (0 for the lowest one) = 0.0 kJ/mol of atoms; VASP energy = -132.91 eV for the cell shown
1.0
6.936 0.000 0.000
0.000 7.147 0.000
-5.230 0.000 10.156
Np Pa Se
4 2 12
Direct
0.163 0.107 0.217 Np
0.163 0.393 0.717 Np
0.837 0.607 0.283 Np
0.837 0.893 0.783 Np
0.500 0.000 0.000 Pa
0.500 0.500 0.500 Pa
0.120 0.194 0.940 Se
0.120 0.306 0.440 Se
0.231 0.683 0.909 Se
0.231 0.817 0.409 Se
0.441 0.077 0.751 Se
0.441 0.423 0.251 Se
0.559 0.577 0.749 Se
0.559 0.923 0.249 Se
0.769 0.183 0.591 Se
0.769 0.317 0.091 Se
0.880 0.694 0.560 Se
0.880 0.806 0.060 Se

***

Entry 4:
NpPa4Se7, optimized geometry, DFT PBE; energy relative to the elements, uncorrected = -1.04 eV/atom; space group = No. 164; VASP energy = -87.75 eV for the cell shown
1.0
4.861 0.000 0.000
-2.430 4.210 0.000
0.000 0.000 14.402
Np Pa Se
1 4 7
Direct
0.000 0.000 0.000 Np
0.333 0.667 0.148 Pa
0.333 0.667 0.422 Pa
0.667 0.333 0.578 Pa
0.667 0.333 0.852 Pa
0.000 0.000 0.213 Se
0.000 0.000 0.500 Se
0.000 0.000 0.787 Se
0.333 0.667 0.634 Se
0.333 0.667 0.933 Se
0.667 0.333 0.067 Se
0.667 0.333 0.366 Se